# 1
Material: BeCdRu2
Method: DFT, PBE
State: relaxed

```
4
Lattice="3.815 0.000 0.000 0.000 3.815 0.000 0.000 0.000 4.015" Properties=species:S:1:pos:R:3 pbc="T T T"
Be 0.000 0.000 0.000
Cd 1.907 1.907 0.000
Ru 0.000 1.907 2.008
Ru 1.907 0.000 2.008
```

Fermi-level density of states (states/eV per atom): 1.07
Relative energy among the computed polymorphs (eV/atom): 0.4250
Formation energy (meV per atom): 472
Space-group type: P4/mmm (123)

# 2
Material: BeCdRu2
Method: DFT, PBE
State: relaxed

```
4
Lattice="4.320 -1.417 0.000 4.320 1.417 0.000 -0.781 0.000 4.851" Properties=species:S:1:pos:R:3 pbc="T T T"
Be 0.000 0.000 0.000
Cd 1.486 0.000 3.451
Ru 3.847 0.000 1.839
Ru 6.185 0.000 0.971
```

Fermi-level density of states (states/eV per atom): 0.91
Relative energy among the computed polymorphs (eV/atom): 0.2286
Formation energy (meV per atom): 276
Space-group type: Cm (8)

# 3
Material: BeCdRu2
Method: DFT, PBE
State: relaxed

```
8
Lattice="-1.952 1.952 8.761 1.952 -1.952 8.761 1.952 1.952 -8.761" Properties=species:S:1:pos:R:3 pbc="T T T"
Be 0.000 0.000 0.000
Be 0.000 1.952 4.380
Cd 1.952 0.000 4.380
Cd 0.000 0.000 8.761
Ru 2.928 0.618 -2.190
Ru 0.618 0.976 2.190
Ru -0.976 1.334 6.571
Ru 1.334 0.976 10.951
```

Fermi-level density of states (states/eV per atom): 0.78
Relative energy among the computed polymorphs (eV/atom): 0.5958
Formation energy (meV per atom): 643
Space-group type: I-42d (122)

# 4
Material: BeCdRu2
Method: DFT, PBE
State: relaxed

```
4
Lattice="2.879 0.000 0.000 0.000 2.879 0.000 0.000 0.000 6.731" Properties=species:S:1:pos:R:3 pbc="T T T"
Be 0.000 0.000 0.000
Cd 0.000 0.000 3.365
Ru 1.439 1.439 1.256
Ru 1.439 1.439 5.475
```

Fermi-level density of states (states/eV per atom): 0.85
Relative energy among the computed polymorphs (eV/atom): 0.0537
Formation energy (meV per atom): 101
Space-group type: P4/mmm (123)